Entry from the Alexandria database: a relaxed Nd3Y6Mg crystal (PBE).

```
data_Nd3Y6Mg
_chemical_formula_sum 'Nd6 Y12 Mg2'
_cell_length_a 11.182
_cell_length_b 5.114
_cell_length_c 11.356
_cell_angle_alpha 90.00
_cell_angle_beta 91.08
_cell_angle_gamma 90.00
_symmetry_space_group_name_H-M 'P 1 21/m 1'
_symmetry_Int_Tables_number 11
_symmetry_space_group_name_Hall '-P 2yb'
loop_
_atom_site_label
_atom_site_fract_x
_atom_site_fract_y
_atom_site_fract_z
Nd1 0.051 0.250 0.402
Nd2 0.154 0.750 0.206
Nd3 0.253 0.250 0.007
Y1 0.052 0.750 0.898
Y2 0.156 0.250 0.701
Y3 0.262 0.750 0.505
Y4 0.349 0.750 0.808
Y5 0.360 0.250 0.311
Y6 0.453 0.750 0.104
Mg1 0.447 0.250 0.605
```

Values from the calculation:
Final energy, eV for the cell shown: -108.94

---

Entry from the Alexandria database: a relaxed Ti2CdPd3 crystal (PBE).

```
data_Ti2CdPd3
_chemical_formula_sum 'Ti2 Cd1 Pd3'
_cell_length_a 3.102
_cell_length_b 3.102
_cell_length_c 10.319
_cell_angle_alpha 90.00
_cell_angle_beta 90.00
_cell_angle_gamma 90.00
_symmetry_space_group_name_H-M 'P 4/m m m'
_symmetry_Int_Tables_number 123
_symmetry_space_group_name_Hall '-P 4 2'
loop_
_atom_site_label
_atom_site_fract_x
_atom_site_fract_y
_atom_site_fract_z
Ti1 0.000 0.000 0.164
Cd1 0.000 0.000 0.500
Pd1 0.500 0.500 0.000
Pd2 0.500 0.500 0.310
```

Values from the calculation:
Final energy, eV for the cell shown: -35.26

---

Entry from the Alexandria database: a relaxed GdYTcRh crystal (PBE).

```
data_GdYTcRh
_chemical_formula_sum 'Gd4 Y4 Tc4 Rh4'
_cell_length_a 6.882
_cell_length_b 6.882
_cell_length_c 6.882
_cell_angle_alpha 90.00
_cell_angle_beta 90.00
_cell_angle_gamma 90.00
_symmetry_space_group_name_H-M 'F -4 3 m'
_symmetry_Int_Tables_number 216
_symmetry_space_group_name_Hall 'F -4 2 3'
loop_
_atom_site_label
_atom_site_fract_x
_atom_site_fract_y
_atom_site_fract_z
Gd1 0.000 0.000 0.000
Y1 0.000 0.000 0.500
Tc1 0.250 0.250 0.750
Rh1 0.250 0.250 0.250
```

Values from the calculation:
Final energy, eV for the cell shown: -157.42

---

Entry from the Alexandria database: a relaxed Pm8Co3NiBr4 crystal (PBE).

```
data_Pm8Co3NiBr4
_chemical_formula_sum 'Pm24 Co9 Ni3 Br12'
_cell_length_a 7.9807
_cell_length_b 7.9807
_cell_length_c 23.2081
_cell_angle_alpha 90.00
_cell_angle_beta 90.00
_cell_angle_gamma 120.00
_symmetry_space_group_name_H-M 'R -3 m'
_symmetry_Int_Tables_number 166
_symmetry_space_group_name_Hall '-R 3 2"'
loop_
_atom_site_label
_atom_site_fract_x
_atom_site_fract_y
_atom_site_fract_z
Pm1 0.0000 0.0000 0.2310
Pm2 0.0052 0.5026 0.7693
Co1 0.0000 0.5000 0.5000
Ni1 0.0000 0.0000 0.5000
Br1 0.0000 0.0000 0.0000
Br2 0.0000 0.5000 0.0000
```

Values from the calculation:
Final energy, eV for the cell shown: -251.76

---

| no. | D(E_F) (states/eV/cell) |
| --- | --- |
| 1 | 31.99 |
| 2 | 6.46 |
| 3 | 21.35 |
| 4 | 21.16 |